{"formula": "Li4CuNi3O8", "functional": "GGA-PBEsol", "state": "relaxed", "lattice_angstrom": [[-1.807, 5.017, -1.899], [-3.348, -3.069, 3.515], [4.622, 2.467, 2.119]], "species": ["O", "O", "O", "O", "O", "O", "O", "O", "Ni", "Ni", "Ni", "Li", "Li", "Li", "Li", "Cu"], "fractional_positions": [[0.741, 0.481, 0.713], [0.259, 0.519, 0.287], [0.238, 0.956, 0.749], [0.282, 0.044, 0.251], [0.753, 0.506, 0.260], [0.718, 0.956, 0.749], [0.247, 0.494, 0.740], [0.762, 0.044, 0.251], [0.500, 0.500, 0.500], [0.500, 0.000, 0.000], [0.000, 0.500, 0.500], [0.000, 0.500, 0.000], [0.000, 0.000, 0.500], [0.500, 0.500, 0.000], [0.500, 0.000, 0.500], [0.000, 0.000, 0.000]], "magnetic_moment_mub_per_cell": 3.5, "final_energy_ev_per_atom": -5.789, "formation_energy_uncorrected_ev_per_atom": -1.247}



{"formula": "La4Bi4S8O3F", "functional": "GGA-PBEsol", "state": "relaxed", "lattice_angstrom": [[-0.886, -3.514, 4.376], [5.190, 1.173, 1.993], [-7.232, 11.416, 4.014]], "species": ["Bi", "Bi", "Bi", "Bi", "S", "S", "S", "S", "S", "S", "S", "S", "F", "La", "La", "La", "La", "O", "O", "O"], "fractional_positions": [[0.440, 0.938, 0.379], [0.938, 0.440, 0.379], [0.062, 0.062, 0.621], [0.560, 0.560, 0.621], [0.443, 0.443, 0.388], [0.054, 0.557, 0.612], [0.159, 0.159, 0.812], [0.557, 0.054, 0.612], [0.653, 0.653, 0.812], [0.347, 0.841, 0.188], [0.841, 0.347, 0.188], [0.946, 0.946, 0.388], [0.500, 0.500, 0.000], [0.712, 0.191, 0.903], [0.191, 0.712, 0.903], [0.809, 0.809, 0.097], [0.288, 0.288, 0.097], [0.500, 0.000, 0.000], [0.000, 0.000, 0.000], [0.000, 0.500, 0.000]], "magnetic_moment_mub_per_cell": 0.0, "final_energy_ev_per_atom": -6.415, "formation_energy_uncorrected_ev_per_atom": -1.852}



{"formula": "AsIr2Se", "functional": "GGA-PBEsol", "state": "relaxed", "lattice_angstrom": [[-1.259, -1.187, 2.180], [2.776, -0.391, -0.387], [1.857, 7.882, 5.365]], "species": ["Ir", "Ir", "As", "Se"], "fractional_positions": [[0.000, 0.000, 0.005], [0.500, 0.000, 0.244], [0.500, 0.000, 0.789], [0.000, 0.000, 0.462]], "e_above_lowest_polymorph_mev_per_atom": 326, "magnetic_moment_mub_per_cell": 0.0, "final_energy_ev_per_atom": -6.783, "formation_energy_uncorrected_ev_per_atom": 0.367}



{"formula": "La4Cu3Sb8", "functional": "GGA-PBEsol", "state": "relaxed", "lattice_angstrom": [[-6.192, 0.225, 0.570], [-0.611, -2.747, -5.550], [3.482, -7.507, 6.821]], "species": ["Cu", "Cu", "Cu", "La", "La", "La", "La", "Sb", "Sb", "Sb", "Sb", "Sb", "Sb", "Sb", "Sb"], "fractional_positions": [[0.500, 0.000, 0.000], [0.000, 0.500, 0.000], [0.000, 0.000, 0.000], [0.871, 0.871, 0.239], [0.369, 0.369, 0.239], [0.129, 0.631, 0.761], [0.631, 0.129, 0.761], [0.750, 0.750, 0.500], [0.676, 0.676, 0.860], [0.184, 0.184, 0.860], [0.750, 0.250, 0.500], [0.816, 0.324, 0.140], [0.250, 0.750, 0.500], [0.250, 0.250, 0.500], [0.324, 0.816, 0.140]], "magnetic_moment_mub_per_cell": 0.0, "final_energy_ev_per_atom": -5.511, "formation_energy_uncorrected_ev_per_atom": -0.788}



{"formula": "CuSe3O", "functional": "GGA-PBEsol", "state": "relaxed", "lattice_angstrom": [[4.392, 0.000, 0.000], [0.000, 4.392, 0.000], [0.000, 0.000, 4.392]], "species": ["Se", "Se", "Se", "Cu", "O"], "fractional_positions": [[0.000, 0.000, 0.500], [0.000, 0.500, 0.000], [0.500, 0.000, 0.000], [0.500, 0.500, 0.500], [0.000, 0.000, 0.000]], "e_above_lowest_polymorph_mev_per_atom": 0, "magnetic_moment_mub_per_cell": 0.0, "final_energy_ev_per_atom": -3.626, "formation_energy_uncorrected_ev_per_atom": 0.600}



{"formula": "TlAs2HBr", "functional": "GGA-PBEsol", "state": "relaxed", "lattice_angstrom": [[5.362, 0.000, 0.000], [0.000, 5.362, 0.000], [0.000, 0.000, 5.784]], "species": ["As", "As", "H", "Br", "Tl"], "fractional_positions": [[0.500, 0.000, 0.000], [0.000, 0.500, 0.000], [0.500, 0.500, 0.500], [0.000, 0.000, 0.500], [0.000, 0.000, 0.000]], "magnetic_moment_mub_per_cell": 3.2, "final_energy_ev_per_atom": -2.375}



{"formula": "Li2MgTl", "functional": "GGA-PBEsol", "state": "relaxed", "lattice_angstrom": [[4.785, 0.000, 0.000], [0.000, 4.783, 0.000], [-2.392, -2.392, 3.354]], "species": ["Li", "Li", "Mg", "Tl"], "fractional_positions": [[0.000, 0.000, 0.000], [0.250, 0.750, 0.500], [0.500, 0.500, 0.000], [0.750, 0.250, 0.500]], "magnetic_moment_mub_per_cell": 0.0, "final_energy_ev_per_atom": -2.317, "delta_e_f_ev_per_atom": -0.247}



{"formula": "TbGePt", "functional": "GGA-PBEsol", "state": "relaxed", "lattice_angstrom": [[-0.645, -2.571, -3.435], [1.879, -5.532, 3.787], [-7.165, -1.000, 2.093]], "species": ["Ge", "Ge", "Ge", "Ge", "Tb", "Tb", "Tb", "Tb", "Pt", "Pt", "Pt", "Pt"], "fractional_positions": [[0.250, 0.812, 0.088], [0.250, 0.312, 0.412], [0.750, 0.188, 0.912], [0.750, 0.688, 0.588], [0.250, 0.497, 0.797], [0.750, 0.003, 0.297], [0.750, 0.503, 0.203], [0.250, 0.997, 0.703], [0.250, 0.704, 0.415], [0.250, 0.204, 0.085], [0.750, 0.296, 0.585], [0.750, 0.796, 0.915]], "magnetic_moment_mub_per_cell": 0.0, "final_energy_ev_per_atom": -6.804, "delta_e_f_ev_per_atom": -1.167}